a.
Crystalline Ba2CuHPd at its relaxed geometry. Source: the Alexandria database, functional PBE-GGA.

abc: 5.7027 5.7027 3.8206
angles: 90.00 90.00 90.00
Sites, in units of the cell vectors:
H 0.0000 0.0000 0.0000
Cu 0.5000 0.5000 0.5000
Ba 0.0000 0.5000 0.0000
Ba 0.5000 0.0000 0.0000
Pd 0.0000 0.0000 0.5000

Summary:
The calculation puts the volume at 24.85 Å³ per atom. For the density of states at the Fermi level, the calculation gives 2.5 states/eV/f.u. As for the space-group type: No. 123. Its mass density is 5.96 g/cm3. The size of the total moment is 0.0 μB/cell.



b.
Crystalline Ba2CuHPd at its relaxed geometry. Source: the Alexandria database, functional PBE-GGA.

abc: 5.5701 5.5701 3.9100
angles: 90.00 90.00 90.00
Sites, in units of the cell vectors:
H 0.0000 0.0000 0.0000
Cu 0.0000 0.0000 0.5000
Ba 0.0000 0.5000 0.0000
Ba 0.5000 0.0000 0.0000
Pd 0.5000 0.5000 0.5000

Summary:
The calculation puts the volume at 24.26 Å³ per atom. For the density of states at the Fermi level, the calculation gives 2.1 states/eV/f.u. As for the space-group type: No. 123. Its mass density is 6.10 g/cm3. The size of the total moment is 0.0 μB/cell.



Which of them is the most stable? Correct choice: a.



a.
Crystalline BaHfCu2 at its relaxed geometry. Source: the Alexandria database, functional PBE-GGA.

abc: 7.6649 7.6649 6.5335
angles: 54.08 54.08 90.00
Sites, in units of the cell vectors:
Hf 0.0000 0.0000 0.0000
Hf 0.7500 0.2500 0.5000
Ba 0.5000 0.5000 0.0000
Ba 0.2500 0.7500 0.5000
Cu 0.6875 0.1250 0.2500
Cu 0.0625 0.6250 0.2500
Cu 0.3750 0.3125 0.7500
Cu 0.8750 0.9375 0.7500

Summary:
The calculation puts the volume at 26.79 Å³ per atom. For the density of states at the Fermi level, the calculation gives 4.0 states/eV/f.u. As for the space-group type: No. 122. Its mass density is 6.86 g/cm3. The size of the total moment is 0.0 μB/cell.



b.
Crystalline BaHfCu2 at its relaxed geometry. Source: the Alexandria database, functional PBE-GGA.

abc: 5.0488 5.0488 5.0488
angles: 60.00 60.00 60.00
Sites, in units of the cell vectors:
Hf 0.5000 0.5000 0.5000
Ba 0.0000 0.0000 0.0000
Cu 0.2500 0.2500 0.2500
Cu 0.7500 0.7500 0.7500

Summary:
The calculation puts the volume at 22.75 Å³ per atom. For the density of states at the Fermi level, the calculation gives 3.0 states/eV/f.u. As for the space-group type: No. 225. Its mass density is 8.08 g/cm3. The size of the total moment is 0.0 μB/cell.



Which of them is the most stable? Correct choice: b.